The following is a GGA-PBE calculation of a relaxed Li7Hg3Rh crystal, from Alexandria.

The calculation puts the mass density at 6.37 g/cm3. For the total energy, the calculation gives -95.17 eV/cell.

The structure belongs to space group Cmcm (No. 63); the cell edges are 3.016, 16.703 and 15.602 Å and the angles 90.00°, 90.00° and 90.00°. The distinct sites, in fractional coordinates, are Li at (0.000, 0.036, 0.106), Li at (0.000, 0.104, 0.668), Li at (0.000, 0.123, 0.250), Li at (0.000, 0.263, 0.596), Hg at (0.000, 0.281, 0.250), Hg at (0.000, 0.386, 0.023) and Rh at (0.000, 0.496, 0.250).